Entry 1:
Below is a geometry-optimized LiY4Al12 structure, with properties calculated at the PBE level.

a b c (Å): 7.5373 7.5373 7.5373
angles (deg): 109.47 109.47 109.47
Element x y z (fractional)
1 Li 0.0000 0.0000 0.0000
2 Y 0.0000 0.0000 0.5000
3 Y 0.0000 0.5000 0.0000
4 Y 0.5000 0.0000 0.0000
5 Y 0.5000 0.5000 0.5000
6 Al 0.0000 0.2977 0.2977
7 Al 0.0000 0.7023 0.7023
8 Al 0.2500 0.5000 0.7500
9 Al 0.2500 0.7500 0.5000
10 Al 0.2977 0.0000 0.2977
11 Al 0.2977 0.2977 0.0000
12 Al 0.5000 0.2500 0.7500
13 Al 0.5000 0.7500 0.2500
14 Al 0.7023 0.0000 0.7023
15 Al 0.7023 0.7023 0.0000
16 Al 0.7500 0.2500 0.5000
17 Al 0.7500 0.5000 0.2500

Entry 2:
Below is a geometry-optimized AcBi4 structure, with properties calculated at the PBE level.

a b c (Å): 6.3088 6.3088 6.3088
angles (deg): 90.00 90.00 90.00
Element x y z (fractional)
1 Ac 0.0000 0.0000 0.0000
2 Bi 0.0000 0.0000 0.5000
3 Bi 0.0000 0.5000 0.0000
4 Bi 0.5000 0.0000 0.0000
5 Bi 0.5000 0.5000 0.5000

**E above lowest polymorph**: 1041 meV per atom

Entry 3:
Below is a geometry-optimized Zr2CoSnGe structure, with properties calculated at the PBE level.

a b c (Å): 5.0443 5.0443 4.3383
angles (deg): 90.00 90.00 90.00
Element x y z (fractional)
1 Zr 0.0000 0.5000 0.0000
2 Zr 0.5000 0.0000 0.0000
3 Co 0.0000 0.0000 0.5000
4 Sn 0.5000 0.5000 0.5000
5 Ge 0.0000 0.0000 0.0000

Entry 4:
Below is a geometry-optimized BaSi2Ag structure, with properties calculated at the PBE level.

a b c (Å): 3.6899 3.6899 6.9716
angles (deg): 90.00 90.00 90.00
Element x y z (fractional)
1 Ba 0.0000 0.0000 0.0000
2 Si 0.5000 0.5000 0.3322
3 Si 0.5000 0.5000 0.6678
4 Ag 0.0000 0.0000 0.5000

**Energy relative to the elements, uncorrected**: 0.073 eV/atom

Entry 5:
Below is a geometry-optimized LaSb2Au2 structure, with properties calculated at the PBE level.

a b c (Å): 6.9565 6.9565 7.2163
angles (deg): 100.84 100.84 124.47
Element x y z (fractional)
1 La 0.1313 0.8687 0.7500
2 La 0.8687 0.1313 0.2500
3 Sb 0.1307 0.8693 0.2500
4 Sb 0.4582 0.5418 0.7500
5 Sb 0.5418 0.4582 0.2500
6 Sb 0.8693 0.1307 0.7500
7 Au 0.2987 0.6567 0.0383
8 Au 0.3433 0.7013 0.4617
9 Au 0.6567 0.2987 0.5383
10 Au 0.7013 0.3433 0.9617

**Energy relative to the elements, uncorrected**: -0.540 eV/atom

Entry 6:
Below is a geometry-optimized LiCaOs2 structure, with properties calculated at the PBE level.

a b c (Å): 6.3834 6.3834 6.3834
angles (deg): 90.00 90.00 90.00
Element x y z (fractional)
1 Li 0.0000 0.0000 0.0000
2 Li 0.0000 0.5000 0.5000
3 Li 0.5000 0.0000 0.5000
4 Li 0.5000 0.5000 0.0000
5 Ca 0.0000 0.0000 0.5000
6 Ca 0.0000 0.5000 0.0000
7 Ca 0.5000 0.0000 0.0000
8 Ca 0.5000 0.5000 0.5000
9 Os 0.2500 0.2500 0.2500
10 Os 0.2500 0.2500 0.7500
11 Os 0.2500 0.7500 0.2500
12 Os 0.2500 0.7500 0.7500
13 Os 0.7500 0.2500 0.2500
14 Os 0.7500 0.2500 0.7500
15 Os 0.7500 0.7500 0.2500
16 Os 0.7500 0.7500 0.7500

**E above lowest polymorph**: 825 meV per atom

Entry 7:
Below is a geometry-optimized IrC structure, with properties calculated at the PBE level.

a b c (Å): 4.4058 4.4058 4.4058
angles (deg): 90.00 90.00 90.00
Element x y z (fractional)
1 Ir 0.0000 0.0000 0.0000
2 Ir 0.0000 0.5000 0.5000
3 Ir 0.5000 0.0000 0.5000
4 Ir 0.5000 0.5000 0.0000
5 C 0.0000 0.0000 0.5000
6 C 0.0000 0.5000 0.0000
7 C 0.5000 0.0000 0.0000
8 C 0.5000 0.5000 0.5000

**E above lowest polymorph**: 978 meV per atom

Entry 8:
Below is a geometry-optimized PrAlZnAu structure, with properties calculated at the PBE level.

a b c (Å): 6.9536 6.9536 6.9536
angles (deg): 90.00 90.00 90.00
Element x y z (fractional)
1 Pr 0.0000 0.0000 0.0000
2 Pr 0.0000 0.5000 0.5000
3 Pr 0.5000 0.0000 0.5000
4 Pr 0.5000 0.5000 0.0000
5 Al 0.0000 0.0000 0.5000
6 Al 0.0000 0.5000 0.0000
7 Al 0.5000 0.0000 0.0000
8 Al 0.5000 0.5000 0.5000
9 Zn 0.2500 0.2500 0.2500
10 Zn 0.2500 0.7500 0.7500
11 Zn 0.7500 0.2500 0.7500
12 Zn 0.7500 0.7500 0.2500
13 Au 0.2500 0.2500 0.7500
14 Au 0.2500 0.7500 0.2500
15 Au 0.7500 0.2500 0.2500
16 Au 0.7500 0.7500 0.7500

Entry 9:
Below is a geometry-optimized CaScRe2Ni structure, with properties calculated at the PBE level.

a b c (Å): 4.5835 4.5835 4.8098
angles (deg): 90.00 90.00 90.00
Element x y z (fractional)
1 Ca 0.0000 0.0000 0.0000
2 Sc 0.5000 0.5000 0.0000
3 Re 0.0000 0.5000 0.5000
4 Re 0.5000 0.0000 0.5000
5 Ni 0.0000 0.0000 0.5000

Entry 10:
Below is a geometry-optimized CePmDy2Tl4 structure, with properties calculated at the PBE level.

a b c (Å): 9.4350 9.4350 9.4350
angles (deg): 33.47 33.47 33.47
Element x y z (fractional)
1 Ce 0.0000 0.0000 0.0000
2 Pm 0.5000 0.5000 0.5000
3 Dy 0.2498 0.2498 0.2498
4 Dy 0.7502 0.7502 0.7502
5 Tl 0.1252 0.1252 0.1252
6 Tl 0.3753 0.3753 0.3753
7 Tl 0.6247 0.6247 0.6247
8 Tl 0.8748 0.8748 0.8748

Entry 11:
Below is a geometry-optimized MgZrScS4 structure, with properties calculated at the PBE level.

a b c (Å): 7.5769 7.5769 7.5769
angles (deg): 121.19 119.14 89.72
Element x y z (fractional)
1 Mg 0.3757 0.1257 0.2500
2 Mg 0.6243 0.8743 0.7500
3 Zr 0.0000 0.0000 0.5000
4 Zr 0.0000 0.5000 0.0000
5 Sc 0.0000 0.5000 0.5000
6 Sc 0.5000 0.5000 0.0000
7 S 0.2322 0.7427 0.4895
8 S 0.2422 0.2565 0.5143
9 S 0.2422 0.7278 0.9857
10 S 0.2468 0.2573 0.9895
11 S 0.7532 0.7427 0.0105
12 S 0.7578 0.2722 0.0143
13 S 0.7578 0.7435 0.4857
14 S 0.7678 0.2573 0.5105

**Energy relative to the elements, uncorrected**: -1.627 eV/atom

Entry 12:
Below is a geometry-optimized Zn2CrPt structure, with properties calculated at the PBE level.

a b c (Å): 3.9231 3.9231 7.6317
angles (deg): 90.00 90.00 90.00
Element x y z (fractional)
1 Zn 0.0000 0.0000 0.0000
2 Zn 0.0000 0.5000 0.2500
3 Zn 0.5000 0.0000 0.7500
4 Zn 0.5000 0.5000 0.5000
5 Cr 0.0000 0.5000 0.7500
6 Cr 0.5000 0.0000 0.2500
7 Pt 0.0000 0.0000 0.5000
8 Pt 0.5000 0.5000 0.0000

Entry 13:
Below is a geometry-optimized PmPr6Sm3Y2 structure, with properties calculated at the PBE level.

a b c (Å): 6.3662 6.3662 12.0768
angles (deg): 95.04 95.04 120.02
Element x y z (fractional)
1 Pm 0.0000 0.0000 0.0000
2 Pr 0.0834 0.4165 0.2493
3 Pr 0.2496 0.2496 0.7509
4 Pr 0.4165 0.0834 0.2493
5 Pr 0.5835 0.9166 0.7507
6 Pr 0.7504 0.7504 0.2491
7 Pr 0.9166 0.5835 0.7507
8 Sm 0.1668 0.8332 0.5000
9 Sm 0.5000 0.5000 0.5000
10 Sm 0.8332 0.1668 0.5000
11 Y 0.3334 0.6666 0.0000
12 Y 0.6666 0.3334 0.0000

Entry 14:
Below is a geometry-optimized Ta2NiHPt structure, with properties calculated at the PBE level.

a b c (Å): 4.0348 4.0348 3.9945
angles (deg): 90.00 90.00 90.00
Element x y z (fractional)
1 Ta 0.0000 0.5000 0.0000
2 Ta 0.5000 0.0000 0.0000
3 Ni 0.0000 0.0000 0.5000
4 H 0.5000 0.5000 0.0000
5 Pt 0.5000 0.5000 0.5000

**E above lowest polymorph**: 110 meV per atom

Entry 15:
Below is a geometry-optimized Sn3Bi structure, with properties calculated at the PBE level.

a b c (Å): 7.6961 7.6961 7.6961
angles (deg): 90.00 90.00 90.00
Element x y z (fractional)
1 Sn 0.0000 0.0000 0.0000
2 Sn 0.0000 0.5000 0.5000
3 Sn 0.2500 0.2500 0.2500
4 Sn 0.2500 0.2500 0.7500
5 Sn 0.2500 0.7500 0.2500
6 Sn 0.2500 0.7500 0.7500
7 Sn 0.5000 0.0000 0.5000
8 Sn 0.5000 0.5000 0.0000
9 Sn 0.7500 0.2500 0.2500
10 Sn 0.7500 0.2500 0.7500
11 Sn 0.7500 0.7500 0.2500
12 Sn 0.7500 0.7500 0.7500
13 Bi 0.0000 0.0000 0.5000
14 Bi 0.0000 0.5000 0.0000
15 Bi 0.5000 0.0000 0.0000
16 Bi 0.5000 0.5000 0.5000

Entry 16:
Below is a geometry-optimized Li2ZrH structure, with properties calculated at the PBE level.

a b c (Å): 5.5355 5.5355 7.8205
angles (deg): 90.00 90.00 90.00
Element x y z (fractional)
1 Li 0.0000 0.0000 0.0000
2 Li 0.0000 0.5000 0.0000
3 Li 0.2500 0.2500 0.7500
4 Li 0.2500 0.7500 0.2500
5 Li 0.5000 0.0000 0.5000
6 Li 0.5000 0.5000 0.5000
7 Li 0.7500 0.2500 0.7500
8 Li 0.7500 0.7500 0.2500
9 Zr 0.0000 0.2500 0.3750
10 Zr 0.0000 0.7500 0.6250
11 Zr 0.5000 0.2500 0.1250
12 Zr 0.5000 0.7500 0.8750
13 H 0.0000 0.2500 0.8750
14 H 0.0000 0.7500 0.1250
15 H 0.5000 0.2500 0.6250
16 H 0.5000 0.7500 0.3750

**E above lowest polymorph**: 0 meV per atom

Entry 17:
Below is a geometry-optimized Ca4Pu3TiN8 structure, with properties calculated at the PBE level.

a b c (Å): 6.8579 6.8579 6.8579
angles (deg): 59.61 59.61 59.61
Element x y z (fractional)
1 Ca 0.0000 0.0000 0.0000
2 Ca 0.0000 0.5000 0.5000
3 Ca 0.5000 0.0000 0.5000
4 Ca 0.5000 0.5000 0.0000
5 Pu 0.0000 0.0000 0.5000
6 Pu 0.0000 0.5000 0.0000
7 Pu 0.5000 0.0000 0.0000
8 Ti 0.5000 0.5000 0.5000
9 N 0.2388 0.2388 0.2388
10 N 0.2477 0.7311 0.7311
11 N 0.2689 0.2689 0.7522
12 N 0.2689 0.7523 0.2689
13 N 0.7311 0.2478 0.7311
14 N 0.7311 0.7311 0.2478
15 N 0.7522 0.2689 0.2689
16 N 0.7612 0.7612 0.7612

**Energy relative to the elements, uncorrected**: -1.211 eV/atom

Entry 18:
Below is a geometry-optimized CaNiW2 structure, with properties calculated at the PBE level.

a b c (Å): 5.2834 9.6836 2.6798
angles (deg): 90.00 90.00 90.00
Element x y z (fractional)
1 Ca 0.0000 0.0000 0.0000
2 Ca 0.5000 0.5000 0.0000
3 Ni 0.0000 0.5000 0.0000
4 Ni 0.5000 0.0000 0.0000
5 W 0.2500 0.2500 0.5000
6 W 0.2500 0.7500 0.5000
7 W 0.7500 0.2500 0.5000
8 W 0.7500 0.7500 0.5000

**E above lowest polymorph**: 371 meV per atom

Entry 19:
Below is a geometry-optimized NdEu2Tl structure, with properties calculated at the PBE level.

a b c (Å): 3.7611 3.7611 9.8657
angles (deg): 90.00 90.00 90.00
Element x y z (fractional)
1 Nd 0.0000 0.0000 0.0000
2 Eu 0.5000 0.5000 0.2809
3 Eu 0.5000 0.5000 0.7191
4 Tl 0.0000 0.0000 0.5000

**E above lowest polymorph**: 20 meV per atom

Entry 20:
Below is a geometry-optimized BeMoP3 structure, with properties calculated at the PBE level.

a b c (Å): 4.6808 4.6808 4.6808
angles (deg): 90.00 90.00 90.00
Element x y z (fractional)
1 Be 0.0000 0.0000 0.0000
2 Mo 0.5000 0.5000 0.5000
3 P 0.0000 0.5000 0.5000
4 P 0.5000 0.0000 0.5000
5 P 0.5000 0.5000 0.0000

**E above lowest polymorph**: 60 meV per atom

Number 1: density of states at the Fermi level 2.3 states/eV per cell, total magnetization 0.0 μB per formula unit, uncorrected energy -4.6766 eV per atom. Number 2: density of states at the Fermi level 6.7 states/eV per cell, total magnetization 0.0 μB per formula unit, uncorrected energy -3.1698 eV per atom. Number 3: density of states at the Fermi level 5.8 states/eV per cell, total magnetization 1.3 μB per formula unit, uncorrected energy -6.4242 eV per atom. Number 4: density of states at the Fermi level 1.7 states/eV per cell, total magnetization 0.0 μB per formula unit, uncorrected energy -3.8318 eV per atom. Number 5: density of states at the Fermi level 4.4 states/eV per cell, total magnetization 0.0 μB per formula unit, uncorrected energy -4.4851 eV per atom. Number 6: density of states at the Fermi level 25.9 states/eV per cell, total magnetization 0.0 μB per formula unit, uncorrected energy -5.4534 eV per atom. Number 7: density of states at the Fermi level 12.4 states/eV per cell, total magnetization 0.0 μB per formula unit, uncorrected energy -7.6072 eV per atom. Number 8: density of states at the Fermi level 6.0 states/eV per cell, total magnetization 0.0 μB per formula unit, uncorrected energy -3.7443 eV per atom. Number 9: density of states at the Fermi level 10.7 states/eV per cell, total magnetization 0.0 μB per formula unit, uncorrected energy -6.7950 eV per atom. Number 10: density of states at the Fermi level 12.3 states/eV per cell, total magnetization 1.0 μB per formula unit, uncorrected energy -3.9889 eV per atom. Number 11: density of states at the Fermi level 6.1 states/eV per cell, total magnetization 0.0 μB per formula unit, uncorrected energy -6.3390 eV per atom. Number 12: density of states at the Fermi level 4.7 states/eV per cell, total magnetization 3.5 μB per formula unit, uncorrected energy -4.7201 eV per atom. Number 13: density of states at the Fermi level 15.9 states/eV per cell, total magnetization 0.0 μB per formula unit, uncorrected energy -5.0329 eV per atom. Number 14: density of states at the Fermi level 4.0 states/eV per cell, total magnetization 0.0 μB per formula unit, uncorrected energy -7.9989 eV per atom. Number 15: density of states at the Fermi level 4.3 states/eV per cell, total magnetization 0.0 μB per formula unit, uncorrected energy -3.9133 eV per atom. Number 16: density of states at the Fermi level 8.3 states/eV per cell, total magnetization 2.4 μB per formula unit, uncorrected energy -3.6288 eV per atom. Number 17: density of states at the Fermi level 21.1 states/eV per cell, total magnetization 12.0 μB per formula unit, uncorrected energy -9.0549 eV per atom. Number 18: density of states at the Fermi level 8.9 states/eV per cell, total magnetization 0.0 μB per formula unit, uncorrected energy -7.6144 eV per atom. Number 19: density of states at the Fermi level 11.6 states/eV per cell, total magnetization 14.7 μB per formula unit, uncorrected energy -7.0699 eV per atom. Number 20: density of states at the Fermi level 5.7 states/eV per cell, total magnetization 0.0 μB per formula unit, uncorrected energy -5.2247 eV per atom.